# PrY2Tm5Sc, relaxed, DFT PBE-GGA
data_PrY2Tm5Sc
_chemical_formula_sum 'Pr2 Y4 Tm10 Sc2'
_cell_length_a 10.1451
_cell_length_b 10.1451
_cell_length_c 10.3396
_cell_angle_alpha 90.00
_cell_angle_beta 90.00
_cell_angle_gamma 148.25
_space_group_name_H-M_alt 'P 1'
_space_group_IT_number 1
loop_
_space_group_symop_operation_xyz
'x,y,z'
loop_
_atom_site_label
_atom_site_type_symbol
_atom_site_fract_x
_atom_site_fract_y
_atom_site_fract_z
_atom_site_occupancy
Pr1 Pr 0.0849 0.9151 0.5000 1
Pr2 Pr 0.9151 0.0849 0.0000 1
Y1 Y 0.3866 0.6134 0.7788 1
Y2 Y 0.3891 0.6109 0.3622 1
Y3 Y 0.6109 0.3891 0.8622 1
Y4 Y 0.6134 0.3866 0.2788 1
Tm1 Tm 0.0193 0.9807 0.7832 1
Tm2 Tm 0.1217 0.8783 0.0660 1
Tm3 Tm 0.2023 0.7977 0.7521 1
Tm4 Tm 0.2221 0.7779 0.3675 1
Tm5 Tm 0.4802 0.5198 0.0683 1
Tm6 Tm 0.5198 0.4802 0.5683 1
Tm7 Tm 0.7779 0.2221 0.8675 1
Tm8 Tm 0.7977 0.2023 0.2521 1
Tm9 Tm 0.8783 0.1217 0.5660 1
Tm10 Tm 0.9807 0.0193 0.2832 1
Sc1 Sc 0.3020 0.6980 0.0600 1
Sc2 Sc 0.6980 0.3020 0.5600 1
# **Energy**: -0.3659 Ry/atom
# **Energy relative to the elements**: 0.176 eV/atom
# **Space group**: Cmc2_1, No. 36
# **Size of the total moment**: 0.000 μB/atom
# **ρ**: 7.17 g/cm3